1.
Computed, not measured: a relaxed CaTbNd6Y2 crystal at the GGA-PBE level of DFT.

```
CaTbNd6Y2
1.0
9.3896 -2.0911 -2.1701
0.8000 8.7703 -2.1023
0.8000 -2.4259 8.6863
Ca Tb Nd Y
2 2 12 4
Direct
0.2500 0.4029 0.5971
0.7500 0.5971 0.4029
0.2500 0.9706 0.0294
0.7500 0.0294 0.9706
0.0539 0.1127 0.7650
0.4461 0.2350 0.8873
0.9461 0.8873 0.2350
0.5539 0.7650 0.1127
0.3225 0.9738 0.4320
0.1775 0.5680 0.0262
0.6775 0.0262 0.5680
0.8225 0.4320 0.9738
0.1217 0.7112 0.4927
0.3783 0.5073 0.2888
0.8783 0.2888 0.5073
0.6217 0.4927 0.7112
0.4556 0.7999 0.7037
0.0444 0.2963 0.2001
0.5444 0.2001 0.2963
0.9556 0.7037 0.7999
```

SG: C2/c, No. 15
E_form: 0.135 eV per atom
magnetic moment: 0.00 Bohr magnetons per cell

2.
Computed, not measured: a relaxed PmPuTh crystal at the GGA-PBE level of DFT.

```
PmPuTh
1.0
-4.9479 2.5935 4.1913
1.4064 -4.2875 4.3132
5.6119 5.1988 3.4080
Pu Th Pm
4 4 4
Direct
0.5019 0.2429 0.5002
0.0019 0.7571 0.9998
0.4981 0.7571 0.4998
0.9981 0.2429 0.0002
0.1378 0.0019 0.6737
0.3622 0.0019 0.1737
0.8622 0.9981 0.3263
0.6378 0.9981 0.8263
0.6322 0.5017 0.1720
0.8678 0.5017 0.6720
0.3678 0.4983 0.8280
0.1322 0.4983 0.3280
```

SG: P2_1/c, No. 14
energy relative to the lowest polymorph listed for this composition: 0.043 eV/atom
E_form: 0.168 eV per atom
magnetic moment: 23.36 Bohr magnetons per cell

3.
Computed, not measured: a relaxed NiOs2Br crystal at the GGA-PBE level of DFT.

```
NiOs2Br
1.0
-1.4834 -2.4233 0.8901
0.6688 -1.8518 -3.9269
3.7497 -1.7565 1.4669
Br Ni Os
1 1 2
Direct
0.5000 0.5000 0.0000
0.5000 0.0000 0.5000
0.0000 0.0000 0.0000
0.0000 0.5000 0.5000
```

SG: P4/mmm, No. 123
E_form (uncorrected): 1.29 eV/atom
energy relative to the lowest polymorph listed for this composition: 0.660 eV/atom
magnetic moment: 0.00 Bohr magnetons per cell

4.
Computed, not measured: a relaxed BeZnAsIr crystal at the GGA-PBE level of DFT.

```
BeZnAsIr
1.0
6.1884 0.0000 0.0124
0.0000 2.9855 0.0000
-5.6547 0.0000 6.2863
Be As Ir Zn
2 2 2 2
Direct
0.2687 0.0000 0.7408
0.2687 0.5000 0.2408
0.6288 0.0000 0.5796
0.6288 0.5000 0.0796
0.8633 0.0000 0.9900
0.8633 0.5000 0.4900
0.1110 0.0000 0.3943
0.1110 0.5000 0.8943
```

SG: Cm, No. 8
energy relative to the lowest polymorph listed for this composition: 0.132 eV/atom
E_form: -0.049 eV per atom
magnetic moment: 0.00 Bohr magnetons per cell